A plane-wave DFT calculation with PBE was carried out for an optimized crystal structure of Te3PtN.

Lattice parameters (Å, degrees): 4.692 4.692 4.692 90.00 90.00 90.00
Fractional positions:
Te: 0.000 0.000 0.500
Te: 0.000 0.500 0.000
Te: 0.500 0.000 0.000
Pt: 0.500 0.500 0.500
N: 0.000 0.000 0.000

Values from the calculation:
VASP energy = -3.82 eV per atom
Spin magnetization = 0.00 Bohr magnetons per cell
Uncorrected formation energy = 937 meV/atom